1.
Computed, not measured: an optimized crystal structure of K2YBe at the PBE-GGA level of DFT.

```
4
Lattice="3.5448 0.0145 0.0000 -1.0817 3.3758 0.0000 0.0000 0.0000 12.1831" Properties=species:S:1:pos:R:3 pbc="T T T"
K 0.0000 0.0000 6.6122
K 0.0000 0.0000 11.6625
Be 1.2316 1.6951 9.1373
Y 1.2316 1.6951 3.0458
```

As for the space group: Cmmm. The calculation puts the density of states at the Fermi level at 3.8 states/eV per cell. Its formation enthalpy at 0 K is 0.89 eV per atom. The energy is -8.8 eV/cell. Its total magnetization is 0.0 μB per formula unit.

2.
Computed, not measured: an optimized crystal structure of KY2Be at the PBE-GGA level of DFT.

```
4
Lattice="-5.3979 -1.0349 -0.3928 -2.0967 -4.5805 2.2327 -3.2014 0.3312 4.4726" Properties=species:S:1:pos:R:3 pbc="T T T"
Y -2.6740 -1.3211 1.5781
Y 0.0000 0.0000 0.0000
K -8.0219 -3.9632 4.7344
Be -5.3480 -2.6421 3.1562
```

As for the space group: F-43m. The calculation puts the density of states at the Fermi level at 5.3 states/eV per cell. Its formation enthalpy at 0 K is 0.90 eV per atom. The energy is -14.2 eV/cell. Its total magnetization is 0.0 μB per formula unit.

3.
Computed, not measured: an optimized crystal structure of K3YBe at the PBE-GGA level of DFT.

```
5
Lattice="-2.3100 6.5796 -2.4616 2.4205 -1.6871 -6.7810 -6.5948 -2.9238 -1.6266" Properties=species:S:1:pos:R:3 pbc="T T T"
K -3.2974 -1.4619 -0.8133
K 1.2103 -0.8436 -3.3905
K -1.1550 3.2898 -1.2308
Be -3.2421 0.9843 -5.4346
Y 0.0000 0.0000 0.0000
```

As for the space group: Pm-3m. The calculation puts the density of states at the Fermi level at 20.0 states/eV per cell. Its formation enthalpy at 0 K is 1.46 eV per atom. The energy is -6.2 eV/cell. Its total magnetization is 3.9 μB per formula unit.

4.
Computed, not measured: an optimized crystal structure of K4YBe at the PBE-GGA level of DFT.

```
6
Lattice="3.8672 0.8934 6.2247 0.5859 6.6962 3.0527 -3.4905 1.4879 6.3327" Properties=species:S:1:pos:R:3 pbc="T T T"
K 2.3093 3.8452 8.9756
K 0.6554 6.7701 7.3768
K 0.3600 3.3949 5.8380
K -1.3993 4.1449 9.0301
Y 0.7220 6.8081 11.7077
Be 0.0000 0.0000 0.0000
```

As for the space group: F-43m. The calculation puts the density of states at the Fermi level at 9.1 states/eV per cell. Its formation enthalpy at 0 K is 0.97 eV per atom. The energy is -8.8 eV/cell. Its total magnetization is 0.0 μB per formula unit.